# Tb3Nd4YTe8

A relaxed Tb3Nd4YTe8 crystal (PBE, the Alexandria database).

a b c (Å): 8.8048 8.8048 22.0719
angles (deg): 90.00 90.00 120.00
Space group R-3m (No. 166, hexagonal axes)
Unique sites:
Tb 0.0000 0.5000 0.0000
Nd 0.0000 0.0000 0.5000
Nd 0.0000 0.5000 0.5000
Y 0.0000 0.0000 0.0000
Te 0.0000 0.0000 0.2536
Te 0.9997 0.4998 0.2537

Calculated values
Calculated volume (Å³/f.u.): 493.9
DFT total energy (eV per atom): -5.401
Formation energy without anion corrections (eV per atom): -1.37

***

# TbNdY2Te6

A relaxed TbNdY2Te6 crystal (PBE, the Alexandria database).

a b c (Å): 7.7775 7.7775 21.2045
angles (deg): 90.00 90.00 120.00
Space group R3 (No. 146, hexagonal axes)
Unique sites:
Tb 0.0000 0.0000 0.0000
Nd 0.0000 0.0000 0.5025
Y 0.0000 0.0000 0.3143
Y 0.0000 0.0000 0.8125
Te 0.0042 0.3173 0.4048
Te 0.0139 0.6987 0.9058

Calculated values
Calculated volume (Å³/f.u.): 370.3
DFT total energy (eV per atom): -5.497
Formation energy without anion corrections (eV per atom): -1.38

***

# Tb4Nd3Th2

A relaxed Tb4Nd3Th2 crystal (PBE, the Alexandria database).

a b c (Å): 18.909 3.634 9.645
angles (deg): 90.00 115.73 90.00
Space group C2/m (No. 12)
Unique sites:
Tb 0.017 0.000 0.330
Tb 0.184 0.500 0.328
Nd 0.000 0.500 0.000
Nd 0.149 0.500 0.671
Th 0.169 0.000 0.002

Calculated values
Formation energy (eV/atom): 0.016
Calculated volume (Å³/f.u.): 298.5
Energy above the most stable polymorph in this dataset (meV per atom): 0
DFT total energy (eV per atom): -5.280

***

# TbNd8Th2

A relaxed TbNd8Th2 crystal (PBE, the Alexandria database).

a b c (Å): 9.136 16.598 6.077
angles (deg): 90.00 123.49 90.00
Space group C2/m (No. 12)
Unique sites:
Tb 0.000 0.000 0.000
Nd 0.000 0.207 0.000
Nd 0.080 0.500 0.794
Nd 0.217 0.117 0.678
Th 0.000 0.307 0.500

Calculated values
Formation energy (eV/atom): 0.195
Calculated volume (Å³/f.u.): 384.2
DFT total energy (eV per atom): -5.043

***

# Tb2Nd8Th3

A relaxed Tb2Nd8Th3 crystal (PBE, the Alexandria database).

a b c (Å): 10.030 11.090 8.812
angles (deg): 90.00 112.74 90.00
Space group C2/m (No. 12)
Unique sites:
Tb 0.233 0.000 0.043
Nd 0.090 0.000 0.345
Nd 0.101 0.500 0.216
Nd 0.162 0.243 0.681
Th 0.000 0.237 0.000
Th 0.000 0.500 0.500

Calculated values
Formation energy (eV/atom): 0.234
Calculated volume (Å³/f.u.): 452.0
DFT total energy (eV per atom): -5.124

***

# Tb4NdTh

A relaxed Tb4NdTh crystal (PBE, the Alexandria database).

a b c (Å): 9.314 9.314 9.314
angles (deg): 90.00 90.00 90.00
Space group F-43m (No. 216)
Unique sites:
Tb 0.124 0.124 0.124
Nd 0.000 0.000 0.500
Th 0.250 0.250 0.750

Calculated values
Formation energy (eV/atom): 0.328
Calculated volume (Å³/f.u.): 202.0
Energy above the most stable polymorph in this dataset (meV per atom): 303
DFT total energy (eV per atom): -4.791

***

# Tb6Nd4Th

A relaxed Tb6Nd4Th crystal (PBE, the Alexandria database).

a b c (Å): 5.855 9.662 25.958
angles (deg): 90.00 90.00 90.00
Space group Cmcm (No. 63)
Unique sites:
Tb 0.000 0.000 0.000
Tb 0.000 0.046 0.250
Tb 0.000 0.303 0.603
Tb 0.000 0.375 0.184
Nd 0.000 0.044 0.123
Nd 0.000 0.348 0.044
Th 0.000 0.292 0.750

Calculated values
Formation energy (eV/atom): 0.134
Calculated volume (Å³/f.u.): 367.1
DFT total energy (eV per atom): -4.800

***

# TbNd12Th5

A relaxed TbNd12Th5 crystal (PBE, the Alexandria database).

a b c (Å): 15.396 15.554 5.141
angles (deg): 90.00 90.00 90.00
Space group Cmmm (No. 65)
Unique sites:
Tb 0.000 0.000 0.000
Nd 0.000 0.162 0.500
Nd 0.000 0.342 0.000
Nd 0.166 0.342 0.500
Nd 0.167 0.159 0.000
Th 0.000 0.500 0.500
Th 0.166 0.000 0.500
Th 0.168 0.500 0.000

Calculated values
Formation energy (eV/atom): 0.036
Calculated volume (Å³/f.u.): 615.5
DFT total energy (eV per atom): -5.461

***

# Tb2NdTh

A relaxed Tb2NdTh crystal (PBE, the Alexandria database).

a b c (Å): 5.100 5.100 5.034
angles (deg): 90.00 90.00 90.00
Space group P4/mmm (No. 123)
Unique sites:
Tb 0.000 0.500 0.000
Nd 0.000 0.000 0.500
Th 0.500 0.500 0.500

Calculated values
Formation energy (eV/atom): 0.046
Calculated volume (Å³/f.u.): 130.9
Energy above the most stable polymorph in this dataset (meV per atom): 48
DFT total energy (eV per atom): -5.316

***

# Tb12Nd5Th2

A relaxed Tb12Nd5Th2 crystal (PBE, the Alexandria database).

a b c (Å): 6.838 7.151 14.179
angles (deg): 104.57 95.53 104.84
Space group P-1 (No. 2)
Unique sites:
Tb 0.028 0.363 0.203
Tb 0.034 0.851 0.188
Tb 0.151 0.080 0.596
Tb 0.339 0.796 0.392
Tb 0.429 0.008 0.788
Tb 0.430 0.493 0.785
Nd 0.000 0.500 0.500
Nd 0.273 0.083 0.020
Nd 0.385 0.282 0.402
Th 0.268 0.574 0.016

Calculated values
Formation energy (eV/atom): 0.102
Calculated volume (Å³/f.u.): 639.0
Energy above the most stable polymorph in this dataset (meV per atom): 0
DFT total energy (eV per atom): -4.858

***

# Tb4Nd7Th

A relaxed Tb4Nd7Th crystal (PBE, the Alexandria database).

a b c (Å): 16.156 6.117 9.326
angles (deg): 90.00 115.14 90.00
Space group C2/m (No. 12)
Unique sites:
Tb 0.071 0.000 0.195
Tb 0.172 0.000 0.882
Nd 0.000 0.000 0.500
Nd 0.083 0.500 0.940
Nd 0.206 0.500 0.380
Nd 0.213 0.500 0.735
Th 0.000 0.500 0.500

Calculated values
Formation energy (eV/atom): 0.234
Calculated volume (Å³/f.u.): 417.2
Energy above the most stable polymorph in this dataset (meV per atom): 217
DFT total energy (eV per atom): -4.709

***

# Tb4Nd15Th

A relaxed Tb4Nd15Th crystal (PBE, the Alexandria database).

a b c (Å): 5.174 5.174 25.801
angles (deg): 90.00 90.00 90.00
Space group P4/mmm (No. 123)
Unique sites:
Tb 0.000 0.000 0.100
Tb 0.000 0.000 0.300
Nd 0.000 0.500 0.000
Nd 0.000 0.500 0.200
Nd 0.000 0.500 0.401
Nd 0.500 0.500 0.100
Nd 0.500 0.500 0.298
Nd 0.500 0.500 0.500
Th 0.000 0.000 0.500

Calculated values
Formation energy (eV/atom): 0.025
Calculated volume (Å³/f.u.): 690.8
DFT total energy (eV per atom): -4.848

***

# Tb9NdTh2

A relaxed Tb9NdTh2 crystal (PBE, the Alexandria database).

a b c (Å): 5.049 5.049 15.142
angles (deg): 90.00 90.00 90.00
Space group P4/mmm (No. 123)
Unique sites:
Tb 0.000 0.000 0.000
Tb 0.000 0.000 0.334
Tb 0.000 0.500 0.170
Tb 0.000 0.500 0.500
Nd 0.500 0.500 0.000
Th 0.500 0.500 0.334

Calculated values
Formation energy (eV/atom): 0.030
Calculated volume (Å³/f.u.): 386.1
Energy above the most stable polymorph in this dataset (meV per atom): 0
DFT total energy (eV per atom): -5.077

***

# TbNd4Th

A relaxed TbNd4Th crystal (PBE, the Alexandria database).

a b c (Å): 12.111 3.630 10.315
angles (deg): 90.00 115.16 90.00
Space group C2/m (No. 12)
Unique sites:
Tb 0.000 0.000 0.000
Nd 0.162 0.500 0.828
Nd 0.165 0.500 0.336
Th 0.000 0.000 0.500

Calculated values
Formation energy (eV/atom): 0.038
Calculated volume (Å³/f.u.): 205.3
Energy above the most stable polymorph in this dataset (meV per atom): 0
DFT total energy (eV per atom): -5.149

***

# TbNdTh

A relaxed TbNdTh crystal (PBE, the Alexandria database).

a b c (Å): 3.613 7.177 8.039
angles (deg): 102.47 102.84 90.01
Space group P-1 (No. 2)
Unique sites:
Tb 0.173 0.332 0.343
Nd 0.500 0.000 0.000
Nd 0.500 0.500 0.000
Th 0.168 0.838 0.339

Calculated values
Formation energy (eV/atom): 0.039
Calculated volume (Å³/f.u.): 99.1
Energy above the most stable polymorph in this dataset (meV per atom): 17
DFT total energy (eV per atom): -5.567

***

# Tb4Nd2Th

A relaxed Tb4Nd2Th crystal (PBE, the Alexandria database).

a b c (Å): 6.279 3.616 20.515
angles (deg): 90.00 96.01 90.00
Space group Cm (No. 8)
Unique sites:
Tb 0.000 0.000 0.000
Tb 0.024 0.500 0.571
Tb 0.093 0.000 0.283
Tb 0.119 0.500 0.860
Nd 0.312 0.500 0.428
Nd 0.401 0.500 0.715
Th 0.218 0.500 0.142

Calculated values
Formation energy (eV/atom): 0.029
Calculated volume (Å³/f.u.): 231.7
Energy above the most stable polymorph in this dataset (meV per atom): 0
DFT total energy (eV per atom): -5.039

***

# Tb6Nd12Th

A relaxed Tb6Nd12Th crystal (PBE, the Alexandria database).

a b c (Å): 12.2244 12.2244 15.3133
angles (deg): 90.00 90.00 120.00
Space group R-3 (No. 148, hexagonal axes)
Unique sites:
Tb 0.0171 0.4293 0.1850
Nd 0.0065 0.8331 0.6897
Nd 0.0496 0.8526 0.9153
Th 0.0000 0.0000 0.5000

Calculated values
Formation energy (eV/atom): 0.126
Calculated volume (Å³/f.u.): 660.6
DFT total energy (eV per atom): -4.738

***

# Tb8Nd4Th

A relaxed Tb8Nd4Th crystal (PBE, the Alexandria database).

a b c (Å): 11.0881 11.0881 13.5400
angles (deg): 90.00 90.00 120.00
Space group R-3m (No. 166, hexagonal axes)
Unique sites:
Tb 0.0000 0.0000 0.2408
Tb 0.0119 0.5060 0.7464
Nd 0.0000 0.0000 0.0000
Nd 0.0000 0.5000 0.0000
Th 0.0000 0.0000 0.5000

Calculated values
Formation energy (eV/atom): 0.510
Calculated volume (Å³/f.u.): 480.6
DFT total energy (eV per atom): -4.378

***

# Tb7Nd12Th

A relaxed Tb7Nd12Th crystal (PBE, the Alexandria database).

a b c (Å): 13.6273 13.6273 12.6588
angles (deg): 90.00 90.00 120.00
Space group R-3m (No. 166, hexagonal axes)
Unique sites:
Tb 0.0000 0.0000 0.0000
Tb 0.0866 0.1733 0.2660
Nd 0.0000 0.2583 0.5000
Nd 0.0461 0.5231 0.6147
Th 0.0000 0.0000 0.5000

Calculated values
Formation energy (eV/atom): 0.098
Calculated volume (Å³/f.u.): 678.6
Energy above the most stable polymorph in this dataset (meV per atom): 0
DFT total energy (eV per atom): -4.755

***

# TbNdTh

A relaxed TbNdTh crystal (PBE, the Alexandria database).

a b c (Å): 3.612 3.612 15.289
angles (deg): 90.00 90.00 90.00
Space group P4/nmm (No. 129, origin choice 2)
Unique sites:
Tb 0.250 0.250 0.241
Nd 0.250 0.250 0.586
Th 0.250 0.250 0.921

Calculated values
Formation energy (eV/atom): 0.022
Calculated volume (Å³/f.u.): 99.7
Energy above the most stable polymorph in this dataset (meV per atom): 0
DFT total energy (eV per atom): -5.584